1.
Here is Ac2CoAs after structural relaxation from Alexandria via LeMat-Bulk. Energies are from PBE.

The structure belongs to space group Fm-3m (No. 225); the cell edges are 7.5707, 7.5707 and 7.5707 Å and the angles 90.00°, 90.00° and 90.00°. The asymmetric unit holds Ac at (0.2500, 0.2500, 0.2500), Co at (0.0000, 0.0000, 0.0000) and As at (0.0000, 0.0000, 0.5000).

The formation energy comes out at -333.0 meV/atom.

2.
Here is Na2SrUCl8 after structural relaxation from Alexandria via LeMat-Bulk. Energies are from PBE.

The structure belongs to space group P2/m (No. 10); the cell edges are 6.5993, 8.6755 and 6.6285 Å and the angles 90.00°, 92.50° and 90.00°. The asymmetric unit holds Na at (0.0000, 0.2362, 0.0000), Sr at (0.5000, 0.0000, 0.5000), U at (0.5000, 0.5000, 0.5000), Cl at (0.2014, 0.0000, 0.1892), Cl at (0.2193, 0.5000, 0.2073) and Cl at (0.3039, 0.2770, 0.6821).

The calculation puts the calculated total energy at -53.4 eV per cell.

3.
Here is Al2CuSb after structural relaxation from Alexandria via LeMat-Bulk. Energies are from PBE.

The structure belongs to space group P4/mmm (No. 123); the cell edges are 2.9947, 2.9947 and 8.1092 Å and the angles 90.00°, 90.00° and 90.00°. The asymmetric unit holds Al at (0.0000, 0.0000, 0.1913), Cu at (0.5000, 0.5000, 0.0000) and Sb at (0.5000, 0.5000, 0.5000).

The calculation puts the calculated total energy at -15.4 eV per cell.

4.
Here is CeY2Ho3 after structural relaxation from Alexandria via LeMat-Bulk. Energies are from PBE.

The structure belongs to space group Ibam (No. 72); the cell edges are 11.3828, 12.0149 and 6.3235 Å and the angles 90.00°, 90.00° and 90.00°. The asymmetric unit holds Ce at (0.0000, 0.0000, 0.0000), Y at (0.2431, 0.3577, 0.0000), Ho at (0.0000, 0.2354, 0.2500) and Ho at (0.0000, 0.5000, 0.2500).

The formation energy comes out at 597.9 meV/atom.

5.
Here is Sc5In2RuRh2 after structural relaxation from Alexandria via LeMat-Bulk. Energies are from PBE.

The structure belongs to space group P4/mbm (No. 127); the cell edges are 11.0673, 11.0673 and 3.2809 Å and the angles 90.00°, 90.00° and 90.00°. The asymmetric unit holds Sc at (0.0000, 0.5000, 0.0000), Sc at (0.0653, 0.1920, 0.0000), In at (0.1748, 0.6748, 0.5000), Ru at (0.0000, 0.0000, 0.5000) and Rh at (0.1342, 0.3658, 0.5000).

The formation energy comes out at -609.8 meV/atom.

6.
Here is Sm5Sc after structural relaxation from Alexandria via LeMat-Bulk. Energies are from PBE.

The structure belongs to space group P6/mmm (No. 191); the cell edges are 6.4836, 6.4836 and 5.7878 Å and the angles 90.00°, 90.00° and 120.00°. The asymmetric unit holds Sm at (0.0000, 0.5000, 0.0000), Sm at (0.3333, 0.6667, 0.5000) and Sc at (0.0000, 0.0000, 0.5000).

The formation energy comes out at 429.9 meV/atom.

7.
Here is LaTb3B4O12 after structural relaxation from Alexandria via LeMat-Bulk. Energies are from PBE.

The structure belongs to space group R32 (No. 155, hexagonal axes); the cell edges are 10.2376, 10.2376 and 8.6531 Å and the angles 90.00°, 90.00° and 120.00°. The asymmetric unit holds La at (0.0000, 0.0000, 0.0000), Tb at (0.0000, 0.5356, 0.0000), B at (0.0000, 0.0000, 0.5000), B at (0.0000, 0.4632, 0.5000), O at (0.0000, 0.5983, 0.5000), O at (0.0000, 0.8649, 0.5000) and O at (0.0038, 0.1995, 0.1723).

The calculation puts the calculated total energy at -500.2 eV per cell.

8.
Here is YHoLu after structural relaxation from Alexandria via LeMat-Bulk. Energies are from PBE.

The structure belongs to space group P-6m2 (No. 187); the cell edges are 5.5491, 5.5491 and 3.4750 Å and the angles 90.00°, 90.00° and 120.00°. The asymmetric unit holds Y at (0.0000, 0.0000, 0.0000), Ho at (0.6667, 0.3333, 0.5000) and Lu at (0.3333, 0.6667, 0.5000).

The formation energy comes out at 79.0 meV/atom.